No. 1
# HfVPS2

An optimized crystal structure of HfVPS2 (PBE, Alexandria via LeMat-Bulk).

Lattice parameters (Å, degrees): 4.8246 4.8246 5.0455 90.00 90.00 90.00
Last column: nearest neighbours and their distance in Å.
Space group P4/mmm (No. 123)
Asymmetric unit:
Hf (0.0000, 0.0000, 0.0000) (multiplicity 1)  4 S 2.41, 2 P 2.52
V (0.5000, 0.5000, 0.5000) (multiplicity 1)  4 P 3.41, 8 S 3.49
P (0.0000, 0.0000, 0.5000) (multiplicity 1)  2 Hf 2.52
S (0.0000, 0.5000, 0.0000) (multiplicity 2)  2 Hf 2.41

Formation energy (no corrections) in meV/atom: 272
Total energy in eV per atom: -6.276

=====

No. 2
# HfVPS2

An optimized crystal structure of HfVPS2 (PBE, Alexandria via LeMat-Bulk).

Lattice parameters (Å, degrees): 4.4078 4.4078 4.7285 90.00 90.00 90.00
Last column: nearest neighbours and their distance in Å.
Space group P4/mmm (No. 123)
Asymmetric unit:
Hf (0.0000, 0.0000, 0.0000) (multiplicity 1)  4 P 3.12, 8 S 3.23
V (0.5000, 0.5000, 0.5000) (multiplicity 1)  4 S 2.20, 2 P 2.36
P (0.5000, 0.5000, 0.0000) (multiplicity 1)  2 V 2.36
S (0.0000, 0.5000, 0.5000) (multiplicity 2)  2 V 2.20

Formation energy (no corrections) in meV/atom: -57
Total energy in eV per atom: -6.604

=====

No. 3
# HfP2WS

An optimized crystal structure of HfP2WS (PBE, Alexandria via LeMat-Bulk).

Lattice parameters (Å, degrees): 4.7193 4.7193 4.5368 90.00 90.00 90.00
Last column: nearest neighbours and their distance in Å.
Space group P4/mmm (No. 123)
Asymmetric unit:
Hf (0.0000, 0.0000, 0.0000) (multiplicity 1)  8 P 3.27, 4 S 3.34
P (0.0000, 0.5000, 0.5000) (multiplicity 2)  2 W 2.36
W (0.5000, 0.5000, 0.5000) (multiplicity 1)  2 S 2.27, 4 P 2.36
S (0.5000, 0.5000, 0.0000) (multiplicity 1)  2 W 2.27

Formation energy (no corrections) in meV/atom: 457
Total energy in eV per atom: -7.114

=====

No. 4
# HfP2WS

An optimized crystal structure of HfP2WS (PBE, Alexandria via LeMat-Bulk).

Lattice parameters (Å, degrees): 4.9477 4.9477 4.7648 90.00 90.00 90.00
Last column: nearest neighbours and their distance in Å.
Space group P4/mmm (No. 123)
Asymmetric unit:
Hf (0.0000, 0.0000, 0.0000) (multiplicity 1)  2 S 2.38, 4 P 2.47
P (0.0000, 0.5000, 0.0000) (multiplicity 2)  2 Hf 2.47
W (0.5000, 0.5000, 0.5000) (multiplicity 1)  8 P 3.43, 4 S 3.50
S (0.0000, 0.0000, 0.5000) (multiplicity 1)  2 Hf 2.38

Formation energy (no corrections) in meV/atom: 1008
Total energy in eV per atom: -6.563

=====

No. 5
# HfZrP2S

An optimized crystal structure of HfZrP2S (PBE, Alexandria via LeMat-Bulk).

Lattice parameters (Å, degrees): 4.9533 4.9533 4.7494 90.00 90.00 90.00
Last column: nearest neighbours and their distance in Å.
Space group P4/mmm (No. 123)
Asymmetric unit:
Hf (0.0000, 0.0000, 0.0000) (multiplicity 1)  8 P 3.43, 4 S 3.50
Zr (0.5000, 0.5000, 0.5000) (multiplicity 1)  2 S 2.37, 4 P 2.48
P (0.0000, 0.5000, 0.5000) (multiplicity 2)  2 Zr 2.48
S (0.5000, 0.5000, 0.0000) (multiplicity 1)  2 Zr 2.37

Formation energy (no corrections) in meV/atom: 164
Total energy in eV per atom: -6.526

=====

No. 6
# HfZrP2S

An optimized crystal structure of HfZrP2S (PBE, Alexandria via LeMat-Bulk).

Lattice parameters (Å, degrees): 4.9204 4.9204 4.7270 90.00 90.00 90.00
Last column: nearest neighbours and their distance in Å.
Space group P4/mmm (No. 123)
Asymmetric unit:
Hf (0.0000, 0.0000, 0.0000) (multiplicity 1)  2 S 2.36, 4 P 2.46
Zr (0.5000, 0.5000, 0.5000) (multiplicity 1)  8 P 3.41, 4 S 3.48
P (0.0000, 0.5000, 0.0000) (multiplicity 2)  2 Hf 2.46
S (0.0000, 0.0000, 0.5000) (multiplicity 1)  2 Hf 2.36

Formation energy (no corrections) in meV/atom: -66
Total energy in eV per atom: -6.756